Entry 1:
Computed, not measured: a relaxed structure of CaDyTlCu at the PBE level of DFT.

Cell and atoms, written as POSCAR:
```
CaDyTlCu
1.0
0.0000 3.6838 3.6838
3.6838 0.0000 3.6838
3.6838 3.6838 0.0000
Ca Dy Tl Cu
1 1 1 1
direct
0.0000 0.0000 0.0000
0.5000 0.5000 0.5000
0.2500 0.2500 0.2500
0.7500 0.7500 0.7500
```

Results
* formation energy: -0.92 eV per formula unit
* energy: -3.496 eV/atom


Entry 2:
Computed, not measured: a relaxed structure of CaDyZnCu at the PBE level of DFT.

Cell and atoms, written as POSCAR:
```
CaDyZnCu
1.0
3.5662 0.0000 0.0000
0.0000 3.5662 0.0000
0.0000 0.0000 7.1516
Ca Dy Zn Cu
1 1 1 1
direct
0.0000 0.0000 0.0000
0.0000 0.0000 0.5151
0.5000 0.5000 0.2754
0.5000 0.5000 0.7269
```

Results
* formation energy: -0.91 eV per formula unit
* relative energy among the computed polymorphs: 0 meV per atom
* energy: -3.221 eV/atom


Entry 3:
Computed, not measured: a relaxed structure of CaDyZnCu at the PBE level of DFT.

Cell and atoms, written as POSCAR:
```
CaDyZnCu
1.0
0.0000 3.5517 3.5517
3.5517 0.0000 3.5517
3.5517 3.5517 0.0000
Ca Dy Zn Cu
1 1 1 1
direct
0.0000 0.0000 0.0000
0.5000 0.5000 0.5000
0.7500 0.7500 0.7500
0.2500 0.2500 0.2500
```

Results
* formation energy: -0.78 eV per formula unit
* relative energy among the computed polymorphs: 31 meV per atom
* energy: -3.190 eV/atom


Entry 4:
Computed, not measured: a relaxed structure of CaEr3Cu at the PBE level of DFT.

Cell and atoms, written as POSCAR:
```
CaEr3Cu
1.0
5.4097 0.0000 0.0000
0.0000 5.4097 0.0000
0.0000 0.0000 5.4097
Ca Er Cu
1 3 1
direct
0.0000 0.0000 0.0000
0.0000 0.5000 0.5000
0.5000 0.0000 0.5000
0.5000 0.5000 0.0000
0.5000 0.5000 0.5000
```

Results
* formation energy: 0.56 eV per formula unit
* energy: -3.845 eV/atom


Entry 5:
Computed, not measured: a relaxed structure of CaErCu4 at the PBE level of DFT.

Cell and atoms, written as POSCAR:
```
CaErCu4
1.0
4.2136 0.0000 0.0000
-2.1068 3.6491 0.0000
0.0000 0.0000 7.4538
Ca Er Cu
1 1 4
direct
0.0000 0.0000 0.0000
0.0000 0.0000 0.5000
0.3333 0.6667 0.2729
0.3333 0.6667 0.7271
0.6667 0.3333 0.2729
0.6667 0.3333 0.7271
```

Results
* formation energy: -1.13 eV per formula unit
* relative energy among the computed polymorphs: 0 meV per atom
* energy: -4.013 eV/atom


Entry 6:
Computed, not measured: a relaxed structure of Ca2ErCu at the PBE level of DFT.

Cell and atoms, written as POSCAR:
```
Ca2ErCu
1.0
1.8314 1.0574 10.9154
-1.8314 1.0574 10.9154
0.0000 -2.1147 10.9154
Ca Er Cu
2 1 1
direct
0.1062 0.1062 0.1062
0.8938 0.8938 0.8938
0.0000 0.0000 0.0000
0.5000 0.5000 0.5000
```

Results
* formation energy: 1.15 eV per formula unit
* energy: -2.879 eV/atom


Entry 7:
Computed, not measured: a relaxed structure of CaErCu4 at the PBE level of DFT.

Cell and atoms, written as POSCAR:
```
CaErCu4
1.0
0.0000 3.7212 3.7212
3.7212 0.0000 3.7212
3.7212 3.7212 0.0000
Ca Er Cu
1 1 4
direct
0.0000 0.0000 0.0000
0.2500 0.2500 0.2500
0.1242 0.6253 0.6253
0.6253 0.1242 0.6253
0.6253 0.6253 0.1242
0.6253 0.6253 0.6253
```

Results
* formation energy: -0.70 eV per formula unit
* relative energy among the computed polymorphs: 71 meV per atom
* energy: -3.942 eV/atom


Entry 8:
Computed, not measured: a relaxed structure of Ca2ErCu9 at the PBE level of DFT.

Cell and atoms, written as POSCAR:
```
Ca2ErCu9
1.0
2.5709 1.4843 8.4439
-2.5709 1.4843 8.4439
0.0000 -2.9686 8.4439
Ca Er Cu
2 1 9
direct
0.1408 0.1408 0.1408
0.8592 0.8592 0.8592
0.0000 0.0000 0.0000
0.0826 0.5788 0.5788
0.3321 0.3321 0.3321
0.4212 0.4212 0.9174
0.4212 0.9174 0.4212
0.5000 0.5000 0.5000
0.5788 0.0826 0.5788
0.5788 0.5788 0.0826
0.6679 0.6679 0.6679
0.9174 0.4212 0.4212
```

Results
* formation energy: -1.76 eV per formula unit
* energy: -3.932 eV/atom


Copy entry 1 word for word.
Computed, not measured: a relaxed structure of CaDyTlCu at the PBE level of DFT.

Cell and atoms, written as POSCAR:
```
CaDyTlCu
1.0
0.0000 3.6838 3.6838
3.6838 0.0000 3.6838
3.6838 3.6838 0.0000
Ca Dy Tl Cu
1 1 1 1
direct
0.0000 0.0000 0.0000
0.5000 0.5000 0.5000
0.2500 0.2500 0.2500
0.7500 0.7500 0.7500
```

Results
* formation energy: -0.92 eV per formula unit
* energy: -3.496 eV/atom